8
Lattice="4.7543 0.0000 0.0000 0.0000 4.7543 0.0000 2.3771 2.3771 3.2858" Properties=species:S:1:pos:R:3 comment="Be2NiO (PBE+U, optimized geometry)" final_energy_ev_per_fu=-17.1 rho_g_cm3=4.1 pbc="T T T"
Ni 0.0000 0.0000 0.0000
Ni 4.7543 2.3771 1.6429
O 2.3771 2.3771 0.0000
O 2.3771 4.7543 1.6429
Be 3.1102 1.1886 0.8215
Be 1.6440 3.5657 0.8215
Be 3.5657 4.0211 2.4644
Be 5.9428 5.4874 2.4644